Record 1
This record from Alexandria describes a relaxed structure of MnCoSbTe2. The functional is GGA-PBE.

Output
The value obtained for the density of states at the Fermi level is 6.0 states/eV per cell. As for the energy above the most stable polymorph in this dataset: 6.8 kJ/mol of atoms. The crystal system is tetragonal. For the raw formation energy, the calculation gives 1.019 eV/atom.

a b c (Å): 5.0583 5.0583 4.7223
angles (deg): 90.00 90.00 90.00
Last column: nearest neighbours and their distance in Å.
Space group P4/mmm (No. 123)
One atom of each set of equivalent atoms:
Mn: 0.0000 0.0000 0.0000 (multiplicity 1)  8 Te 3.46, 4 Sb 3.58
Co: 0.5000 0.5000 0.5000 (multiplicity 1)  2 Sb 2.36, 4 Te 2.53
Sb: 0.5000 0.5000 0.0000 (multiplicity 1)  2 Co 2.36
Te: 0.0000 0.5000 0.5000 (multiplicity 2)  2 Co 2.53

=====

Record 2
This record from Alexandria describes a relaxed structure of MnCoSb2Te. The functional is GGA-PBE.

Output
The value obtained for the density of states at the Fermi level is 8.0 states/eV per cell. As for the energy above the most stable polymorph in this dataset: 0.0 kJ/mol of atoms. The crystal system is tetragonal. For the raw formation energy, the calculation gives 0.912 eV/atom.

a b c (Å): 4.8735 4.8735 5.1212
angles (deg): 90.00 90.00 90.00
Last column: nearest neighbours and their distance in Å.
Space group P4/mmm (No. 123)
One atom of each set of equivalent atoms:
Mn: 0.0000 0.0000 0.0000 (multiplicity 1)  4 Sb 2.44, 2 Te 2.56
Co: 0.5000 0.5000 0.5000 (multiplicity 1)  4 Te 3.45, 8 Sb 3.53
Sb: 0.0000 0.5000 0.0000 (multiplicity 2)  2 Mn 2.44
Te: 0.0000 0.0000 0.5000 (multiplicity 1)  2 Mn 2.56

=====

Record 3
This record from Alexandria describes a relaxed structure of MnCoSb2Te. The functional is GGA-PBE.

Output
The value obtained for the density of states at the Fermi level is 6.2 states/eV per cell. As for the energy above the most stable polymorph in this dataset: 8.4 kJ/mol of atoms. The crystal system is tetragonal. For the raw formation energy, the calculation gives 0.999 eV/atom.

a b c (Å): 4.7843 4.7843 5.2161
angles (deg): 90.00 90.00 90.00
Last column: nearest neighbours and their distance in Å.
Space group P4/mmm (No. 123)
One atom of each set of equivalent atoms:
Mn: 0.0000 0.0000 0.0000 (multiplicity 1)  4 Te 3.38, 8 Sb 3.54
Co: 0.5000 0.5000 0.5000 (multiplicity 1)  4 Sb 2.39, 2 Te 2.61
Sb: 0.0000 0.5000 0.5000 (multiplicity 2)  2 Co 2.39
Te: 0.5000 0.5000 0.0000 (multiplicity 1)  2 Co 2.61

=====

Question: Which of these has the lowest energy above the most stable polymorph in this dataset?
Answer: number 2